Entry 1:
Material: Y4RuAu
Method: DFT, PBE
State: relaxed

Properties
Formation enthalpy at 0 K (eV per atom): 0.65
Polymorph energy (0 for the lowest one) (eV/atom): 1.140

Structure (CIF):
```
data_Y4RuAu
_chemical_formula_sum 'Y4 Ru1 Au1'
_cell_length_a 5.964
_cell_length_b 5.964
_cell_length_c 5.964
_cell_angle_alpha 60.00
_cell_angle_beta 60.00
_cell_angle_gamma 60.00
_symmetry_space_group_name_H-M 'P 1'
_symmetry_Int_Tables_number 1
_symmetry_space_group_name_Hall 'P 1'
loop_
_atom_site_label
_atom_site_type_symbol
_atom_site_fract_x
_atom_site_fract_y
_atom_site_fract_z
_atom_site_occupancy
Y1 Y 0.376 0.376 0.376 1
Y2 Y 0.376 0.376 0.873 1
Y3 Y 0.376 0.873 0.376 1
Y4 Y 0.873 0.376 0.376 1
Ru1 Ru 0.750 0.750 0.750 1
Au1 Au 0.000 0.000 0.000 1
```

=====

Entry 2:
Material: GaCu6Au8
Method: DFT, PBE
State: relaxed

Properties
Formation enthalpy at 0 K (eV per atom): 0.02

Structure (CIF):
```
data_GaCu6Au8
_chemical_formula_sum 'Ga1 Cu6 Au8'
_cell_length_a 6.844
_cell_length_b 6.844
_cell_length_c 6.844
_cell_angle_alpha 65.35
_cell_angle_beta 65.35
_cell_angle_gamma 65.35
_symmetry_space_group_name_H-M 'P 1'
_symmetry_Int_Tables_number 1
_symmetry_space_group_name_Hall 'P 1'
loop_
_atom_site_label
_atom_site_type_symbol
_atom_site_fract_x
_atom_site_fract_y
_atom_site_fract_z
_atom_site_occupancy
Ga1 Ga 0.000 0.000 0.000 1
Cu1 Cu 0.046 0.728 0.375 1
Cu2 Cu 0.272 0.625 0.954 1
Cu3 Cu 0.375 0.046 0.728 1
Cu4 Cu 0.625 0.954 0.272 1
Cu5 Cu 0.728 0.375 0.046 1
Cu6 Cu 0.954 0.272 0.625 1
Au1 Au 0.115 0.456 0.782 1
Au2 Au 0.218 0.885 0.544 1
Au3 Au 0.341 0.341 0.341 1
Au4 Au 0.456 0.782 0.115 1
Au5 Au 0.544 0.218 0.885 1
Au6 Au 0.659 0.659 0.659 1
Au7 Au 0.782 0.115 0.456 1
Au8 Au 0.885 0.544 0.218 1
```

=====

Entry 3:
Material: Tb4Ho15In
Method: DFT, PBE
State: relaxed

Properties
Formation enthalpy at 0 K (eV per atom): -0.03

Structure (CIF):
```
data_Tb4Ho15In
_chemical_formula_sum 'Tb4 Ho15 In1'
_cell_length_a 4.945
_cell_length_b 4.945
_cell_length_c 25.014
_cell_angle_alpha 90.00
_cell_angle_beta 90.00
_cell_angle_gamma 90.00
_symmetry_space_group_name_H-M 'P 1'
_symmetry_Int_Tables_number 1
_symmetry_space_group_name_Hall 'P 1'
loop_
_atom_site_label
_atom_site_type_symbol
_atom_site_fract_x
_atom_site_fract_y
_atom_site_fract_z
_atom_site_occupancy
Tb1 Tb 0.000 0.000 0.101 1
Tb2 Tb 0.000 0.000 0.302 1
Tb3 Tb 0.000 0.000 0.698 1
Tb4 Tb 0.000 0.000 0.899 1
Ho1 Ho 0.000 0.500 0.000 1
Ho2 Ho 0.000 0.500 0.202 1
Ho3 Ho 0.000 0.500 0.403 1
Ho4 Ho 0.000 0.500 0.597 1
Ho5 Ho 0.000 0.500 0.798 1
Ho6 Ho 0.500 0.000 0.000 1
Ho7 Ho 0.500 0.000 0.202 1
Ho8 Ho 0.500 0.000 0.403 1
Ho9 Ho 0.500 0.000 0.597 1
Ho10 Ho 0.500 0.000 0.798 1
Ho11 Ho 0.500 0.500 0.101 1
Ho12 Ho 0.500 0.500 0.305 1
Ho13 Ho 0.500 0.500 0.500 1
Ho14 Ho 0.500 0.500 0.695 1
Ho15 Ho 0.500 0.500 0.899 1
In1 In 0.000 0.000 0.500 1
```

=====

Entry 4:
Material: Rb3PaCl7
Method: DFT, PBE
State: relaxed

Properties
E_tot (eV per atom): -4.26

Structure (CIF):
```
data_Rb3PaCl7
_chemical_formula_sum 'Rb3 Pa1 Cl7'
_cell_length_a 7.689
_cell_length_b 7.689
_cell_length_c 8.460
_cell_angle_alpha 116.02
_cell_angle_beta 116.02
_cell_angle_gamma 86.35
_symmetry_space_group_name_H-M 'P 1'
_symmetry_Int_Tables_number 1
_symmetry_space_group_name_Hall 'P 1'
loop_
_atom_site_label
_atom_site_type_symbol
_atom_site_fract_x
_atom_site_fract_y
_atom_site_fract_z
_atom_site_occupancy
Rb1 Rb 0.000 0.000 0.000 1
Rb2 Rb 0.274 0.734 0.571 1
Rb3 Rb 0.734 0.274 0.571 1
Pa1 Pa 0.551 0.551 0.124 1
Cl1 Cl 0.199 0.520 0.822 1
Cl2 Cl 0.372 0.372 0.237 1
Cl3 Cl 0.378 0.863 0.283 1
Cl4 Cl 0.520 0.199 0.822 1
Cl5 Cl 0.695 0.695 0.960 1
Cl6 Cl 0.844 0.844 0.500 1
Cl7 Cl 0.863 0.378 0.283 1
```

=====

no.,total magnetization (μB per formula unit)
1,0.93
2,0.00
3,0.00
4,1.00